Run A
# ErCu9Sn2

An optimized crystal structure of ErCu9Sn2 (PBE, Alexandria via LeMat-Bulk). Values from VASP.

Computed properties:
Symmetry   No. 127

Structure (Quantum ESPRESSO input):
```
&SYSTEM
  ibrav = 0, nat = 24, ntyp = 3
/
ATOMIC_SPECIES
Er 167.26 Er.upf
Cu 63.55 Cu.upf
Sn 118.71 Sn.upf
ATOMIC_POSITIONS crystal
Er 0.000 0.000 0.000
Er 0.500 0.500 0.000
Cu 0.000 0.500 0.500
Cu 0.065 0.201 0.500
Cu 0.173 0.673 0.246
Cu 0.173 0.673 0.754
Cu 0.201 0.935 0.500
Cu 0.299 0.435 0.500
Cu 0.327 0.173 0.246
Cu 0.327 0.173 0.754
Cu 0.435 0.701 0.500
Cu 0.500 0.000 0.500
Cu 0.565 0.299 0.500
Cu 0.673 0.827 0.246
Cu 0.673 0.827 0.754
Cu 0.701 0.565 0.500
Cu 0.799 0.065 0.500
Cu 0.827 0.327 0.246
Cu 0.827 0.327 0.754
Cu 0.935 0.799 0.500
Sn 0.130 0.370 0.000
Sn 0.370 0.870 0.000
Sn 0.630 0.130 0.000
Sn 0.870 0.630 0.000
CELL_PARAMETERS angstrom
8.470 0.000 0.000
0.000 8.470 0.000
0.000 0.000 4.979
```

---

Run B
# ErCu9Sn2

An optimized crystal structure of ErCu9Sn2 (PBE, Alexandria via LeMat-Bulk). Values from VASP.

Computed properties:
Symmetry   No. 166

Structure (Quantum ESPRESSO input):
```
&SYSTEM
  ibrav = 0, nat = 12, ntyp = 3
/
ATOMIC_SPECIES
Er 167.26 Er.upf
Cu 63.55 Cu.upf
Sn 118.71 Sn.upf
ATOMIC_POSITIONS crystal
Er 0.000 0.000 0.000
Cu 0.081 0.584 0.584
Cu 0.334 0.334 0.334
Cu 0.416 0.416 0.919
Cu 0.416 0.919 0.416
Cu 0.500 0.500 0.500
Cu 0.584 0.081 0.584
Cu 0.584 0.584 0.081
Cu 0.666 0.666 0.666
Cu 0.919 0.416 0.416
Sn 0.138 0.138 0.138
Sn 0.862 0.862 0.862
CELL_PARAMETERS angstrom
2.529 1.460 8.184
-2.529 1.460 8.184
0.000 -2.920 8.184
```

---

run A wins, 36 meV/atom ahead of the next structure.

---

Run A
# Tb3ErCu2

An optimized crystal structure of Tb3ErCu2 (PBE, Alexandria via LeMat-Bulk). Values from VASP.

Computed properties:
Symmetry   No. 72

Structure (Quantum ESPRESSO input):
```
&SYSTEM
  ibrav = 0, nat = 12, ntyp = 3
/
ATOMIC_SPECIES
Tb 158.93 Tb.upf
Er 167.26 Er.upf
Cu 63.55 Cu.upf
ATOMIC_POSITIONS crystal
Tb 0.017 0.750 0.267
Tb 0.250 0.250 0.000
Tb 0.483 0.750 0.733
Tb 0.517 0.250 0.267
Tb 0.750 0.750 0.000
Tb 0.983 0.250 0.733
Er 0.000 0.500 0.500
Er 0.500 0.000 0.500
Cu 0.141 0.208 0.349
Cu 0.359 0.708 0.067
Cu 0.641 0.292 0.933
Cu 0.859 0.792 0.651
CELL_PARAMETERS angstrom
-3.392 6.716 3.592
3.392 -6.716 3.592
3.392 6.716 -3.592
```

---

Run B
# Tb3ErCu2

An optimized crystal structure of Tb3ErCu2 (PBE, Alexandria via LeMat-Bulk). Values from VASP.

Computed properties:
Symmetry   No. 26

Structure (Quantum ESPRESSO input):
```
&SYSTEM
  ibrav = 0, nat = 12, ntyp = 3
/
ATOMIC_SPECIES
Tb 158.93 Tb.upf
Er 167.26 Er.upf
Cu 63.55 Cu.upf
ATOMIC_POSITIONS crystal
Tb 0.000 0.076 0.000
Tb 0.000 0.337 0.367
Tb 0.000 0.663 0.867
Tb 0.000 0.924 0.500
Tb 0.500 0.165 0.657
Tb 0.500 0.835 0.157
Er 0.500 0.426 0.025
Er 0.500 0.574 0.525
Cu 0.000 0.349 0.774
Cu 0.000 0.651 0.274
Cu 0.500 0.155 0.250
Cu 0.500 0.845 0.750
CELL_PARAMETERS angstrom
4.918 0.000 0.000
0.000 8.726 0.000
0.000 0.000 6.863
```

---

run B wins, 182 meV/atom ahead of the next structure.